(1)
# CuNi2Rh

CuNi2Rh after structural relaxation (GGA-PBEsol, Alexandria).

CIF file:
```
data_CuNi2Rh
_cell_length_a 3.5774
_cell_length_b 3.5774
_cell_length_c 7.1792
_cell_angle_alpha 90.00
_cell_angle_beta 90.00
_cell_angle_gamma 90.00
_symmetry_space_group_name_H-M 'I 4/m m m'
_symmetry_Int_Tables_number 139
_symmetry_space_group_name_Hall '-I 4 2'
loop_
_atom_site_label
_atom_site_fract_x
_atom_site_fract_y
_atom_site_fract_z
Cu1 0.0000 0.0000 0.0000
Ni1 0.0000 0.5000 0.2500
Rh1 0.0000 0.0000 0.5000
```

Calculated values
**Energy relative to the elements**: 0.05 eV/atom



(2)
# CaTa2Cd

CaTa2Cd after structural relaxation (GGA-PBEsol, Alexandria).

CIF file:
```
data_CaTa2Cd
_cell_length_a 2.8273
_cell_length_b 2.8273
_cell_length_c 10.0875
_cell_angle_alpha 90.00
_cell_angle_beta 90.00
_cell_angle_gamma 90.00
_symmetry_space_group_name_H-M 'P 4/m m m'
_symmetry_Int_Tables_number 123
_symmetry_space_group_name_Hall '-P 4 2'
loop_
_atom_site_label
_atom_site_fract_x
_atom_site_fract_y
_atom_site_fract_z
Ca1 0.0000 0.0000 0.0000
Ta1 0.5000 0.5000 0.2698
Cd1 0.0000 0.0000 0.5000
```

Calculated values
**Energy relative to the elements**: 0.59 eV/atom



(3)
# Ti2HgPt2

Ti2HgPt2 after structural relaxation (GGA-PBEsol, Alexandria).

CIF file:
```
data_Ti2HgPt2
_cell_length_a 7.5955
_cell_length_b 7.5955
_cell_length_c 2.8467
_cell_angle_alpha 90.00
_cell_angle_beta 90.00
_cell_angle_gamma 90.00
_symmetry_space_group_name_H-M 'P 4/m b m'
_symmetry_Int_Tables_number 127
_symmetry_space_group_name_Hall '-P 4 2ab'
loop_
_atom_site_label
_atom_site_fract_x
_atom_site_fract_y
_atom_site_fract_z
Ti1 0.1663 0.3337 0.0000
Hg1 0.0000 0.0000 0.5000
Pt1 0.1290 0.6290 0.5000
```

Calculated values
**Energy relative to the elements**: -0.71 eV/atom
**Energy above the most stable polymorph in this dataset**: 0.000 eV/atom



(4)
# KAl2Zn2

KAl2Zn2 after structural relaxation (GGA-PBEsol, Alexandria).

CIF file:
```
data_KAl2Zn2
_cell_length_a 4.2316
_cell_length_b 4.2316
_cell_length_c 11.5137
_cell_angle_alpha 90.00
_cell_angle_beta 90.00
_cell_angle_gamma 90.00
_symmetry_space_group_name_H-M 'I 4/m m m'
_symmetry_Int_Tables_number 139
_symmetry_space_group_name_Hall '-I 4 2'
loop_
_atom_site_label
_atom_site_fract_x
_atom_site_fract_y
_atom_site_fract_z
K1 0.0000 0.0000 0.0000
Al1 0.0000 0.5000 0.2500
Zn1 0.0000 0.0000 0.3871
```

Calculated values
**Energy relative to the elements**: 0.07 eV/atom



(5)
# HfBe2Ru2

HfBe2Ru2 after structural relaxation (GGA-PBEsol, Alexandria).

CIF file:
```
data_HfBe2Ru2
_cell_length_a 6.3829
_cell_length_b 6.3829
_cell_length_c 3.0087
_cell_angle_alpha 90.00
_cell_angle_beta 90.00
_cell_angle_gamma 90.00
_symmetry_space_group_name_H-M 'P 4/m b m'
_symmetry_Int_Tables_number 127
_symmetry_space_group_name_Hall '-P 4 2ab'
loop_
_atom_site_label
_atom_site_fract_x
_atom_site_fract_y
_atom_site_fract_z
Hf1 0.0000 0.0000 0.0000
Be1 0.1161 0.3839 0.0000
Ru1 0.1700 0.6700 0.5000
```

Calculated values
**Energy relative to the elements**: -0.48 eV/atom



(6)
# InPtAu2

InPtAu2 after structural relaxation (GGA-PBEsol, Alexandria).

CIF file:
```
data_InPtAu2
_cell_length_a 3.0276
_cell_length_b 3.0276
_cell_length_c 26.5466
_cell_angle_alpha 90.00
_cell_angle_beta 90.00
_cell_angle_gamma 120.00
_symmetry_space_group_name_H-M 'R -3 m'
_symmetry_Int_Tables_number 166
_symmetry_space_group_name_Hall '-R 3 2"'
loop_
_atom_site_label
_atom_site_fract_x
_atom_site_fract_y
_atom_site_fract_z
In1 0.0000 0.0000 0.0000
Pt1 0.0000 0.0000 0.5000
Au1 0.0000 0.0000 0.2481
```

Calculated values
**Energy relative to the elements**: 0.06 eV/atom



(7)
# Cd2SiTc

Cd2SiTc after structural relaxation (GGA-PBEsol, Alexandria).

CIF file:
```
data_Cd2SiTc
_cell_length_a 3.9722
_cell_length_b 3.9722
_cell_length_c 8.2678
_cell_angle_alpha 90.00
_cell_angle_beta 90.00
_cell_angle_gamma 90.00
_symmetry_space_group_name_H-M 'I -4 m 2'
_symmetry_Int_Tables_number 119
_symmetry_space_group_name_Hall 'I -4 -2'
loop_
_atom_site_label
_atom_site_fract_x
_atom_site_fract_y
_atom_site_fract_z
Cd1 0.0000 0.0000 0.0000
Cd2 0.0000 0.5000 0.2500
Si1 0.0000 0.0000 0.5000
Tc1 0.0000 0.5000 0.7500
```

Calculated values
**E_form (uncorrected)**: 0.31 eV per atom



(8)
# Li4Fe3P3O12F

Li4Fe3P3O12F after structural relaxation (GGA-PBEsol, Alexandria).

CIF file:
```
data_Li4Fe3P3O12F
_cell_length_a 8.2815
_cell_length_b 8.2815
_cell_length_c 8.2815
_cell_angle_alpha 90.00
_cell_angle_beta 90.00
_cell_angle_gamma 90.00
_symmetry_space_group_name_H-M 'P -4 3 n'
_symmetry_Int_Tables_number 218
_symmetry_space_group_name_Hall 'P -4n 2 3'
loop_
_atom_site_label
_atom_site_fract_x
_atom_site_fract_y
_atom_site_fract_z
Li1 0.1431 0.1431 0.1431
Fe1 0.0000 0.2500 0.5000
P1 0.0000 0.5000 0.2500
O1 0.1030 0.3834 0.1454
F1 0.0000 0.0000 0.0000
```

Calculated values
**E_form (uncorrected)**: -1.96 eV per atom



(9)
# NaCdO2F

NaCdO2F after structural relaxation (GGA-PBEsol, Alexandria).

CIF file:
```
data_NaCdO2F
_cell_length_a 4.0581
_cell_length_b 4.0581
_cell_length_c 3.9844
_cell_angle_alpha 90.00
_cell_angle_beta 90.00
_cell_angle_gamma 90.00
_symmetry_space_group_name_H-M 'P 4/m m m'
_symmetry_Int_Tables_number 123
_symmetry_space_group_name_Hall '-P 4 2'
loop_
_atom_site_label
_atom_site_fract_x
_atom_site_fract_y
_atom_site_fract_z
Na1 0.0000 0.0000 0.0000
Cd1 0.5000 0.5000 0.5000
O1 0.0000 0.5000 0.0000
F1 0.0000 0.0000 0.5000
```

Calculated values
**E_form (uncorrected)**: -0.33 eV per atom



(10)
# Si2Ni3H4O9

Si2Ni3H4O9 after structural relaxation (GGA-PBEsol, Alexandria).

CIF file:
```
data_Si2Ni3H4O9
_cell_length_a 5.2708
_cell_length_b 5.2708
_cell_length_c 7.1210
_cell_angle_alpha 90.00
_cell_angle_beta 90.00
_cell_angle_gamma 120.00
_symmetry_space_group_name_H-M 'P 3 1 m'
_symmetry_Int_Tables_number 157
_symmetry_space_group_name_Hall 'P 3 -2'
loop_
_atom_site_label
_atom_site_fract_x
_atom_site_fract_y
_atom_site_fract_z
Si1 0.3333 0.6667 0.0000
Ni1 0.0000 0.3322 0.3845
H1 0.0000 0.0000 0.1002
H2 0.0000 0.6513 0.6545
O1 0.0000 0.0000 0.2373
O2 0.0000 0.5317 0.9116
O3 0.0000 0.6647 0.5169
O4 0.3333 0.6667 0.2251
```



(11)
# HfAuN2

HfAuN2 after structural relaxation (GGA-PBEsol, Alexandria).

CIF file:
```
data_HfAuN2
_cell_length_a 3.2611
_cell_length_b 3.2611
_cell_length_c 18.5463
_cell_angle_alpha 90.00
_cell_angle_beta 90.00
_cell_angle_gamma 120.00
_symmetry_space_group_name_H-M 'R -3 m'
_symmetry_Int_Tables_number 166
_symmetry_space_group_name_Hall '-R 3 2"'
loop_
_atom_site_label
_atom_site_fract_x
_atom_site_fract_y
_atom_site_fract_z
Hf1 0.0000 0.0000 0.0000
Au1 0.0000 0.0000 0.5000
N1 0.0000 0.0000 0.1129
```

Calculated values
**E_form (uncorrected)**: 0.69 eV per atom



(12)
# YTcRh3

YTcRh3 after structural relaxation (GGA-PBEsol, Alexandria).

CIF file:
```
data_YTcRh3
_cell_length_a 4.6155
_cell_length_b 4.6155
_cell_length_c 4.6155
_cell_angle_alpha 90.00
_cell_angle_beta 90.00
_cell_angle_gamma 90.00
_symmetry_space_group_name_H-M 'P m -3 m'
_symmetry_Int_Tables_number 221
_symmetry_space_group_name_Hall '-P 4 2 3'
loop_
_atom_site_label
_atom_site_fract_x
_atom_site_fract_y
_atom_site_fract_z
Y1 0.0000 0.0000 0.0000
Tc1 0.5000 0.5000 0.5000
Rh1 0.0000 0.5000 0.5000
```

Calculated values
**Energy relative to the elements**: 0.47 eV/atom



(13)
# NbSnSb3

NbSnSb3 after structural relaxation (GGA-PBEsol, Alexandria).

CIF file:
```
data_NbSnSb3
_cell_length_a 5.4274
_cell_length_b 5.4274
_cell_length_c 5.4274
_cell_angle_alpha 90.00
_cell_angle_beta 90.00
_cell_angle_gamma 90.00
_symmetry_space_group_name_H-M 'P m -3 m'
_symmetry_Int_Tables_number 221
_symmetry_space_group_name_Hall '-P 4 2 3'
loop_
_atom_site_label
_atom_site_fract_x
_atom_site_fract_y
_atom_site_fract_z
Nb1 0.0000 0.0000 0.0000
Sn1 0.5000 0.5000 0.5000
Sb1 0.0000 0.5000 0.5000
```

Calculated values
**E_form (uncorrected)**: 1.41 eV per atom
**Energy above the most stable polymorph in this dataset**: 0.993 eV/atom



(14)
# ReNiOs2

ReNiOs2 after structural relaxation (GGA-PBEsol, Alexandria).

CIF file:
```
data_ReNiOs2
_cell_length_a 2.6865
_cell_length_b 3.7553
_cell_length_c 5.3041
_cell_angle_alpha 90.00
_cell_angle_beta 90.00
_cell_angle_gamma 90.00
_symmetry_space_group_name_H-M 'P m m m'
_symmetry_Int_Tables_number 47
_symmetry_space_group_name_Hall '-P 2 2'
loop_
_atom_site_label
_atom_site_fract_x
_atom_site_fract_y
_atom_site_fract_z
Re1 0.0000 0.0000 0.0000
Ni1 0.0000 0.0000 0.5000
Os1 0.5000 0.5000 0.2599
```

Calculated values
**Energy relative to the elements**: 0.11 eV/atom
**Energy above the most stable polymorph in this dataset**: 0.000 eV/atom



(15)
# CaReSi2

CaReSi2 after structural relaxation (GGA-PBEsol, Alexandria).

CIF file:
```
data_CaReSi2
_cell_length_a 5.6038
_cell_length_b 8.0767
_cell_length_c 2.7834
_cell_angle_alpha 90.00
_cell_angle_beta 90.00
_cell_angle_gamma 90.00
_symmetry_space_group_name_H-M 'C m m m'
_symmetry_Int_Tables_number 65
_symmetry_space_group_name_Hall '-C 2 2'
loop_
_atom_site_label
_atom_site_fract_x
_atom_site_fract_y
_atom_site_fract_z
Ca1 0.0000 0.0000 0.0000
Re1 0.0000 0.5000 0.0000
Si1 0.2500 0.2500 0.5000
```

Calculated values
**E_form (uncorrected)**: 0.31 eV per atom



(16)
# Nb6Te8Pb

Nb6Te8Pb after structural relaxation (GGA-PBEsol, Alexandria).

CIF file:
```
data_Nb6Te8Pb
_cell_length_a 10.6156
_cell_length_b 10.6156
_cell_length_c 3.6046
_cell_angle_alpha 90.00
_cell_angle_beta 90.00
_cell_angle_gamma 120.00
_symmetry_space_group_name_H-M 'P -3'
_symmetry_Int_Tables_number 147
_symmetry_space_group_name_Hall '-P 3'
loop_
_atom_site_label
_atom_site_fract_x
_atom_site_fract_y
_atom_site_fract_z
Nb1 0.1024 0.6140 0.2481
Te1 0.0653 0.3330 0.2537
Te2 0.3333 0.6667 0.7487
Pb1 0.0000 0.0000 0.0000
```

Calculated values
**E_form (uncorrected)**: -0.43 eV per atom



(17)
# NiW

NiW after structural relaxation (GGA-PBEsol, Alexandria).

CIF file:
```
data_NiW
_cell_length_a 2.6945
_cell_length_b 2.6945
_cell_length_c 25.6659
_cell_angle_alpha 90.00
_cell_angle_beta 90.00
_cell_angle_gamma 120.00
_symmetry_space_group_name_H-M 'R -3 m'
_symmetry_Int_Tables_number 166
_symmetry_space_group_name_Hall '-R 3 2"'
loop_
_atom_site_label
_atom_site_fract_x
_atom_site_fract_y
_atom_site_fract_z
Ni1 0.0000 0.0000 0.1285
W1 0.0000 0.0000 0.3816
```

Calculated values
**Energy relative to the elements**: 0.27 eV/atom



(18)
# TaHgP2

TaHgP2 after structural relaxation (GGA-PBEsol, Alexandria).

CIF file:
```
data_TaHgP2
_cell_length_a 2.7429
_cell_length_b 5.1554
_cell_length_c 10.8336
_cell_angle_alpha 90.00
_cell_angle_beta 90.00
_cell_angle_gamma 90.00
_symmetry_space_group_name_H-M 'I m m m'
_symmetry_Int_Tables_number 71
_symmetry_space_group_name_Hall '-I 2 2'
loop_
_atom_site_label
_atom_site_fract_x
_atom_site_fract_y
_atom_site_fract_z
Ta1 0.0000 0.0000 0.0000
Hg1 0.0000 0.0000 0.5000
P1 0.0000 0.5000 0.3041
```

Calculated values
**Energy relative to the elements**: 0.21 eV/atom



(19)
# LiLaMn2

LiLaMn2 after structural relaxation (GGA-PBEsol, Alexandria).

CIF file:
```
data_LiLaMn2
_cell_length_a 3.7747
_cell_length_b 3.7747
_cell_length_c 17.2413
_cell_angle_alpha 90.00
_cell_angle_beta 90.00
_cell_angle_gamma 120.00
_symmetry_space_group_name_H-M 'R 3 m'
_symmetry_Int_Tables_number 160
_symmetry_space_group_name_Hall 'R 3 -2"'
loop_
_atom_site_label
_atom_site_fract_x
_atom_site_fract_y
_atom_site_fract_z
Li1 0.0000 0.0000 0.0000
La1 0.0000 0.0000 0.2017
Mn1 0.0000 0.0000 0.4161
Mn2 0.0000 0.0000 0.7390
```

Calculated values
**Energy relative to the elements**: 0.36 eV/atom
**Energy above the most stable polymorph in this dataset**: 0.000 eV/atom



(20)
# MgTeAs2

MgTeAs2 after structural relaxation (GGA-PBEsol, Alexandria).

CIF file:
```
data_MgTeAs2
_cell_length_a 4.9773
_cell_length_b 3.9779
_cell_length_c 5.0049
_cell_angle_alpha 90.00
_cell_angle_beta 110.36
_cell_angle_gamma 90.00
_symmetry_space_group_name_H-M 'P 1 m 1'
_symmetry_Int_Tables_number 6
_symmetry_space_group_name_Hall 'P -2y'
loop_
_atom_site_label
_atom_site_fract_x
_atom_site_fract_y
_atom_site_fract_z
Mg1 0.0000 0.0000 0.0000
Te1 0.7255 0.5000 0.2539
As1 0.2746 0.5000 0.7629
As2 0.4622 0.0000 0.5381
```

Calculated values
**E_form (uncorrected)**: -0.20 eV per atom
**Energy above the most stable polymorph in this dataset**: 0.000 eV/atom



What are the calculated total energy values for these records? In order: -6.1443 -6.5157 -6.9426 -2.4238 -8.2452 -4.3869 -4.5377 -7.0529 -3.3322 -6.4985 -7.1829 -8.0287 -4.3374 -10.8705 -6.4312 -6.9088 -9.7132 -5.9615 -6.3510 -4.0653 eV/atom.
What are the size of the total moment values for these records? In order: 0.492 0.000 0.000 0.000 0.000 0.000 0.133 0.522 0.400 0.322 0.000 0.000 0.580 0.000 0.000 0.000 0.001 0.000 0.001 0.000 μB per atom.